Material: BaLa2Mn3O9
Method: DFT, PBE with a Hubbard U
State: relaxed

Calculated values
Raw total energy (eV/atom): -7.658
DOS at the Fermi energy (states/eV per cell): 1.96

Unit cell a=5.6342 b=5.6342 c=13.6083 alpha=90.00 beta=90.00 gamma=120.00
Space group P-3c1 (No. 165)
Unique sites:
Ba 0.0000 0.0000 0.2500 (multiplicity 2)
La 0.3333 0.6667 0.0822 (multiplicity 4)
Mn 0.0000 0.0000 0.0000 (multiplicity 2)
Mn 0.3333 0.6667 0.3330 (multiplicity 4)
O 0.0000 0.4773 0.2500 (multiplicity 6)
O 0.1114 0.3415 0.9231 (multiplicity 12)